Entry from Alexandria: a relaxed structure of Li2DyCrF8 (PBE with a Hubbard U).

Results
- Total energy: -5.807 eV per atom

a b c (Å): 4.7577 6.5855 4.7660
angles (deg): 90.00 90.74 90.00
Last column: nearest neighbours and their distance in Å.
Space group P2/m (No. 10)
Unique sites:
1 Li 0.0000 0.2334 0.0000 [2 per cell]  6 F 2.04-2.16
2 Dy 0.5000 0.5000 0.5000 [1 per cell]  6 F 2.13-2.23
3 Cr 0.5000 0.0000 0.5000 [1 per cell]  6 F 1.93-1.98
4 F 0.1843 0.5000 0.8131 [2 per cell]  1 Dy 2.13, 2 Li 2.16
5 F 0.2144 0.0000 0.7837 [2 per cell]  1 Cr 1.93, 2 Li 2.12
6 F 0.3054 0.2250 0.3040 [4 per cell]  1 Cr 1.98, 1 Li 2.04